# Ce4PtAu, relaxed, DFT PBE
data_Ce4PtAu
_chemical_formula_sum 'Ce8 Pt2 Au2'
_space_group_name_H-M_alt 'P 4/m c c'
_space_group_IT_number 124
_space_group_name_Hall '-P 4 2c'
_cell_length_a 7.183
_cell_length_b 7.183
_cell_length_c 5.782
_cell_angle_alpha 90.00
_cell_angle_beta 90.00
_cell_angle_gamma 90.00
loop_
_atom_site_label
_atom_site_fract_x
_atom_site_fract_y
_atom_site_fract_z
Ce1 0.138 0.350 0.000
Pt1 0.000 0.000 0.250
Au1 0.500 0.500 0.250
# Total energy   -6.010 eV per atom
# Formation energy   -48.3 kJ/mol of atoms
# Offset from the most stable computed form   22 meV per atom

# Ag2PbSe2, relaxed, DFT PBE
data_Ag2PbSe2
_chemical_formula_sum 'Ag4 Pb2 Se4'
_space_group_name_H-M_alt 'I 4/m m m'
_space_group_IT_number 139
_space_group_name_Hall '-I 4 2'
_cell_length_a 4.346
_cell_length_b 4.346
_cell_length_c 12.513
_cell_angle_alpha 90.00
_cell_angle_beta 90.00
_cell_angle_gamma 90.00
loop_
_atom_site_label
_atom_site_fract_x
_atom_site_fract_y
_atom_site_fract_z
Ag1 0.000 0.000 0.108
Pb1 0.000 0.000 0.500
Se1 0.000 0.500 0.250
# Total energy   -3.153 eV per atom
# Offset from the most stable computed form   326 meV per atom
# Energy relative to the elements, uncorrected   0.12 eV/atom

# BeBr2O, relaxed, DFT PBE
data_BeBr2O
_chemical_formula_sum 'Be4 Br8 O4'
_space_group_name_H-M_alt 'F m -3 m'
_space_group_IT_number 225
_space_group_name_Hall '-F 4 2 3'
_cell_length_a 6.449
_cell_length_b 6.449
_cell_length_c 6.449
_cell_angle_alpha 90.00
_cell_angle_beta 90.00
_cell_angle_gamma 90.00
loop_
_atom_site_label
_atom_site_fract_x
_atom_site_fract_y
_atom_site_fract_z
Be1 0.000 0.000 0.000
Br1 0.250 0.250 0.250
O1 0.000 0.000 0.500
# Total energy   -2.258 eV per atom
# Offset from the most stable computed form   761 meV per atom
# Energy relative to the elements, uncorrected   0.75 eV/atom

# NiAu3, relaxed, DFT PBE
data_NiAu3
_chemical_formula_sum 'Ni2 Au6'
_space_group_name_H-M_alt 'C 1 2/m 1'
_space_group_IT_number 12
_space_group_name_Hall '-C 2y'
_cell_length_a 9.565
_cell_length_b 2.917
_cell_length_c 4.843
_cell_angle_alpha 90.00
_cell_angle_beta 103.71
_cell_angle_gamma 90.00
loop_
_atom_site_label
_atom_site_fract_x
_atom_site_fract_y
_atom_site_fract_z
Ni1 0.000 0.000 0.000
Au1 0.000 0.500 0.500
Au2 0.237 0.500 0.238
# Total energy   -3.813 eV per atom
# Formation energy   8.7 kJ/mol of atoms

# Mn2FePd5, relaxed, DFT PBE
data_Mn2FePd5
_chemical_formula_sum 'Mn4 Fe2 Pd10'
_space_group_name_H-M_alt 'I 4/m m m'
_space_group_IT_number 139
_space_group_name_Hall '-I 4 2'
_cell_length_a 5.659
_cell_length_b 5.659
_cell_length_c 7.443
_cell_angle_alpha 90.00
_cell_angle_beta 90.00
_cell_angle_gamma 90.00
loop_
_atom_site_label
_atom_site_fract_x
_atom_site_fract_y
_atom_site_fract_z
Mn1 0.000 0.500 0.000
Fe1 0.000 0.000 0.000
Pd1 0.000 0.000 0.500
Pd2 0.250 0.250 0.250
# Total energy   -6.731 eV per atom
# Formation energy   -13.0 kJ/mol of atoms

# ScReHg, relaxed, DFT PBE
data_ScReHg
_chemical_formula_sum 'Sc1 Re1 Hg1'
_space_group_name_H-M_alt 'P -6 m 2'
_space_group_IT_number 187
_space_group_name_Hall 'P -6 2'
_cell_length_a 4.8197
_cell_length_b 4.8197
_cell_length_c 2.8101
_cell_angle_alpha 90.00
_cell_angle_beta 90.00
_cell_angle_gamma 120.00
loop_
_atom_site_label
_atom_site_fract_x
_atom_site_fract_y
_atom_site_fract_z
Sc1 0.0000 0.0000 0.0000
Re1 0.6667 0.3333 0.5000
Hg1 0.3333 0.6667 0.5000
# Total energy   -6.031 eV per atom
# Formation energy   31.8 kJ/mol of atoms
# Offset from the most stable computed form   78 meV per atom

Please write out number 5 again, unchanged.
# Mn2FePd5, relaxed, DFT PBE
data_Mn2FePd5
_chemical_formula_sum 'Mn4 Fe2 Pd10'
_space_group_name_H-M_alt 'I 4/m m m'
_space_group_IT_number 139
_space_group_name_Hall '-I 4 2'
_cell_length_a 5.659
_cell_length_b 5.659
_cell_length_c 7.443
_cell_angle_alpha 90.00
_cell_angle_beta 90.00
_cell_angle_gamma 90.00
loop_
_atom_site_label
_atom_site_fract_x
_atom_site_fract_y
_atom_site_fract_z
Mn1 0.000 0.500 0.000
Fe1 0.000 0.000 0.000
Pd1 0.000 0.000 0.500
Pd2 0.250 0.250 0.250
# Total energy   -6.731 eV per atom
# Formation energy   -13.0 kJ/mol of atoms

- What is the total energy in the second record?
  -3.153 eV per atom

- Among the records above, which one has the lowest total energy?
  Mn2FePd5